# 1
Below is PtRhW2 after structural relaxation, with properties calculated at the PBEsol level.

It has space group P4mm (No. 99), with a = 2.736 Å, b = 2.736 Å, c = 7.979 Å, α = 90.00°, β = 90.00° and γ = 90.00°. The distinct sites, in fractional coordinates, are Pt at (0.000, 0.000, 0.000), Rh at (0.500, 0.500, 0.259), W at (0.000, 0.000, 0.487) and W at (0.500, 0.500, 0.759).

The density of states at the Fermi level is 2.2 states/eV/cell. The value obtained for the formation enthalpy at 0 K is -0.1568 eV per atom. The energy above the most stable polymorph in this dataset comes out at 0.093 eV per atom.



# 2
Below is PtRhW2 after structural relaxation, with properties calculated at the PBEsol level.

It has space group Fm-3m (No. 225), with a = 6.244 Å, b = 6.244 Å, c = 6.244 Å, α = 90.00°, β = 90.00° and γ = 90.00°. The distinct sites, in fractional coordinates, are Pt at (0.000, 0.000, 0.000), Rh at (0.000, 0.000, 0.500) and W at (0.250, 0.250, 0.250).

The density of states at the Fermi level is 25.2 states/eV/cell. The value obtained for the formation enthalpy at 0 K is 0.3903 eV per atom. The energy above the most stable polymorph in this dataset comes out at 0.640 eV per atom.



# 3
Below is PtRhW2 after structural relaxation, with properties calculated at the PBEsol level.

It has space group Cm (No. 8), with a = 9.078 Å, b = 2.733 Å, c = 4.864 Å, α = 90.00°, β = 99.77° and γ = 90.00°. The distinct sites, in fractional coordinates, are Pt at (0.000, 0.000, 0.000), Rh at (0.256, 0.500, 0.276), W at (0.002, 0.500, 0.488) and W at (0.251, 0.000, 0.778).

The density of states at the Fermi level is 5.7 states/eV/cell. The value obtained for the formation enthalpy at 0 K is -0.1493 eV per atom. The energy above the most stable polymorph in this dataset comes out at 0.100 eV per atom.



# 4
Below is PtRhW2 after structural relaxation, with properties calculated at the PBEsol level.

It has space group Cmmm (No. 65), with a = 5.411 Å, b = 8.039 Å, c = 2.709 Å, α = 90.00°, β = 90.00° and γ = 90.00°. The distinct sites, in fractional coordinates, are Pt at (0.000, 0.000, 0.000), Rh at (0.000, 0.500, 0.000) and W at (0.250, 0.250, 0.500).

The density of states at the Fermi level is 4.2 states/eV/cell. The value obtained for the formation enthalpy at 0 K is -0.2057 eV per atom. The energy above the most stable polymorph in this dataset comes out at 0.044 eV per atom.